! GGA-PBE Pu2AlFe, optimized geometry; values from VASP
&SYSTEM
  ibrav = 0, nat = 16, ntyp = 3
/
ATOMIC_SPECIES
Fe 55.84 Fe.upf
Pu 244.00 Pu.upf
Al 26.98 Al.upf
CELL_PARAMETERS angstrom
-6.2561 2.4616 0.6223
-2.5115 -5.5074 -3.4629
-0.7911 -3.6051 6.3073
ATOMIC_POSITIONS angstrom
Fe -5.4072 -3.3723 0.1889
Pu -4.1791 -4.4915 -1.7081
Fe -1.8061 -4.2014 3.0444
Pu -3.0343 -3.0822 4.9414
Al -6.3852 -5.8326 0.0896
Pu -7.2810 -3.9805 2.4285
Pu -7.3683 -3.2367 -1.3908
Al -0.8281 -1.7411 3.1437
Fe -6.3166 -6.3016 2.6341
Al -5.6058 -5.0587 4.8633
Pu -6.1884 -1.1316 1.4272
Pu -4.0918 -5.2354 2.1113
Pu -3.1215 -2.3383 1.1221
Pu -6.1012 -1.8754 5.2465
Al -1.6075 -2.5151 -1.6300
Fe -0.8967 -1.2721 0.5993
! Spin magnetization, μB/f.u.: 9.9
! Space group: Pnma
! ΔE_f, eV per atom: -0.039